A plane-wave DFT calculation with PBE-GGA was carried out for a relaxed structure of ErPuTl.

Computed properties:
space-group type = P3m1
E_form = 0.011 eV per atom
ρ = 12.2 g/cm³
energy relative to the lowest polymorph listed for this composition = 33.4 meV per atom

Cell: 3.434 5.310 5.310 Å, 120.00 90.00 90.00°
Each line ends with the local moment (μB).
Element x y z (fractional)
Tl 0.031 0.000 0.000  -0.04
Er 0.268 0.667 0.333  0.25
Pu 0.701 0.333 0.667  5.58

=====

A plane-wave DFT calculation with PBE-GGA was carried out for a relaxed structure of Ga2SO6.

Computed properties:
formation energy from raw total energies = -1542 meV/atom
space-group type = C2/c
ρ = 3.1 g/cm³

Cell: 6.460 7.305 7.305 Å, 96.18 67.79 67.79°
Element x y z (fractional)
Ga 0.513 0.429 0.296
Ga 0.987 0.704 0.571
Ga 0.487 0.571 0.704
Ga 0.013 0.296 0.429
S 0.250 0.822 0.178
S 0.750 0.178 0.822
O 0.717 0.340 0.419
O 0.783 0.581 0.660
O 0.283 0.660 0.581
O 0.217 0.419 0.340
O 0.984 0.166 0.657
O 0.516 0.343 0.834
O 0.016 0.834 0.343
O 0.484 0.657 0.166
O 0.758 0.219 0.022
O 0.742 0.978 0.781
O 0.242 0.781 0.978
O 0.258 0.022 0.219

=====

A plane-wave DFT calculation with PBE-GGA was carried out for a relaxed structure of ErPuN.

Computed properties:
formation energy from raw total energies = -857 meV/atom
space-group type = P3m1
ρ = 11.5 g/cm³
energy relative to the lowest polymorph listed for this composition = 0.0 meV per atom

Cell: 3.411 3.411 6.093 Å, 90.00 90.00 120.00°
Each line ends with the local moment (μB).
Element x y z (fractional)
N 0.667 0.333 0.327  -0.09
Er 0.000 0.000 0.109  0.27
Pu 0.333 0.667 0.563  5.36

=====

A plane-wave DFT calculation with PBE-GGA was carried out for a relaxed structure of FeAgSb2.

Computed properties:
formation energy from raw total energies = 422 meV/atom
space-group type = I-4m2
ρ = 8.1 g/cm³
energy relative to the lowest polymorph listed for this composition = 261.6 meV per atom

Cell: 5.780 5.780 5.780 Å, 138.59 138.59 60.00°
Each line ends with the local moment (μB).
Element x y z (fractional)
Ag 0.500 0.500 0.000  -0.01
Fe 0.750 0.250 0.500  2.77
Sb 0.000 0.000 0.000  -0.02
Sb 0.250 0.750 0.500  -0.02

=====

A plane-wave DFT calculation with PBE-GGA was carried out for a relaxed structure of KRb6.

Computed properties:
space-group type = R-3m
E_form = 0.008 eV per atom
ρ = 1.5 g/cm³
energy relative to the lowest polymorph listed for this composition = 0.0 meV per atom

Cell: 7.908 7.908 12.232 Å, 71.14 71.14 60.00°
Element x y z (fractional)
K 0.000 0.000 0.000
Rb 0.713 0.713 0.862
Rb 0.428 0.428 0.716
Rb 0.141 0.141 0.576
Rb 0.859 0.859 0.424
Rb 0.572 0.572 0.284
Rb 0.287 0.287 0.138

=====

A plane-wave DFT calculation with PBE-GGA was carried out for a relaxed structure of HoBiI.

Computed properties:
formation energy from raw total energies = -737 meV/atom
space-group type = P4/nmm
ρ = 8.4 g/cm³
energy relative to the lowest polymorph listed for this composition = 0.0 meV per atom

Cell: 5.551 5.551 12.794 Å, 90.00 90.00 90.00°
Element x y z (fractional)
Bi 0.076 0.000 0.073
Bi 0.576 0.000 0.927
Bi 0.076 0.500 0.927
Bi 0.576 0.500 0.073
I 0.077 0.000 0.356
I 0.577 0.000 0.644
I 0.077 0.500 0.644
I 0.577 0.500 0.356
Ho 0.076 0.500 0.208
Ho 0.576 0.500 0.792
Ho 0.076 0.000 0.792
Ho 0.576 0.000 0.208

=====

A plane-wave DFT calculation with PBE-GGA was carried out for a relaxed structure of Ac7Ga2Au2.

Computed properties:
space-group type = Cmmm
E_form = -0.265 eV per atom
ρ = 8.7 g/cm³

Cell: 7.397 7.823 7.397 Å, 89.99 109.49 90.01°
Element x y z (fractional)
Ac 0.000 0.277 0.500
Ac 0.500 0.723 0.000
Ac 0.000 0.723 0.500
Ac 0.500 0.277 0.000
Ac 0.000 0.000 0.000
Ac 0.500 0.733 0.500
Ac 0.500 0.267 0.500
Ga 0.846 0.500 0.846
Ga 0.154 0.500 0.154
Au 0.709 0.000 0.291
Au 0.291 0.000 0.709

=====

A plane-wave DFT calculation with PBE-GGA was carried out for a relaxed structure of PrEuHgPb.

Computed properties:
space-group type = F-43m
E_form = -0.535 eV per atom
ρ = 9.6 g/cm³

Cell: 5.561 5.561 5.561 Å, 60.00 60.00 60.00°
Each line ends with the local moment (μB).
Element x y z (fractional)
Pb 0.250 0.250 0.250  -0.04
Eu 0.000 0.000 0.000  6.94
Pr 0.500 0.500 0.500  0.23
Hg 0.750 0.750 0.750  0.05

=====

A plane-wave DFT calculation with PBE-GGA was carried out for a relaxed structure of Zn2CuNi5.

Computed properties:
space-group type = Pbam
E_form = -0.106 eV per atom
ρ = 8.8 g/cm³
energy relative to the lowest polymorph listed for this composition = 0.0 meV per atom

Cell: 3.623 5.058 10.100 Å, 90.00 90.00 90.00°
Each line ends with the local moment (μB).
Element x y z (fractional)
Zn 0.500 0.256 0.626  -0.01
Zn 0.500 0.744 0.374  -0.01
Zn 0.500 0.244 0.126  -0.01
Zn 0.500 0.756 0.874  -0.01
Cu 0.000 0.000 0.500  0.03
Cu 0.000 0.500 0.000  0.03
Ni 0.000 0.000 0.000  0.31
Ni 0.000 0.500 0.500  0.31
Ni 0.000 0.508 0.748  0.32
Ni 0.000 0.492 0.252  0.32
Ni 0.000 0.992 0.248  0.32
Ni 0.000 0.008 0.752  0.32
Ni 0.500 0.254 0.875  0.26
Ni 0.500 0.746 0.125  0.26
Ni 0.500 0.246 0.375  0.26
Ni 0.500 0.754 0.625  0.26

=====

A plane-wave DFT calculation with PBE-GGA was carried out for a relaxed structure of CaLaSb2O8.

Computed properties:
formation energy from raw total energies = -1997 meV/atom
space-group type = I-4
ρ = 5.4 g/cm³

Cell: 5.440 5.440 6.903 Å, 113.21 113.21 90.00°
Each line ends with the local moment (μB).
Element x y z (fractional)
Ca 0.000 0.000 0.000  0.00
La 0.750 0.250 0.500  0.00
Sb 0.500 0.500 0.000  -0.01
Sb 0.250 0.750 0.500  -0.01
O 0.768 0.830 0.177  0.12
O 0.409 0.347 0.177  0.12
O 0.581 0.664 0.679  0.12
O 0.098 0.015 0.679  0.12
O 0.985 0.419 0.321  0.12
O 0.336 0.902 0.321  0.12
O 0.170 0.591 0.823  0.12
O 0.653 0.232 0.823  0.12

=====

A plane-wave DFT calculation with PBE-GGA was carried out for a relaxed structure of Sc2HgBr.

Computed properties:
formation energy from raw total energies = -427 meV/atom
space-group type = Cmmm
ρ = 6.6 g/cm³
energy relative to the lowest polymorph listed for this composition = 160.9 meV per atom

Cell: 3.388 3.388 9.040 Å, 90.00 90.00 115.78°
Element x y z (fractional)
Br 0.500 0.500 0.250
Hg 0.500 0.500 0.750
Sc 0.000 0.000 0.004
Sc 0.000 0.000 0.496

=====

A plane-wave DFT calculation with PBE-GGA was carried out for a relaxed structure of SrCdFe2.

Computed properties:
space-group type = I-4m2
E_form = 0.649 eV per atom
ρ = 6.3 g/cm³

Cell: 4.897 4.897 4.897 Å, 120.19 120.19 89.67°
Each line ends with the local moment (μB).
Element x y z (fractional)
Cd 0.750 0.250 0.500  -0.04
Fe 0.000 0.000 0.000  2.91
Fe 0.250 0.750 0.500  2.81
Sr 0.500 0.500 0.000  -0.05

=====

A plane-wave DFT calculation with PBE-GGA was carried out for a relaxed structure of Ac2AlZn.

Computed properties:
space-group type = Pmma
E_form = -0.226 eV per atom
ρ = 7.5 g/cm³

Cell: 3.920 5.581 11.130 Å, 90.00 90.00 90.00°
Element x y z (fractional)
Ac 0.000 0.250 0.124
Ac 0.000 0.750 0.876
Ac 0.000 0.250 0.624
Ac 0.000 0.750 0.376
Al 0.500 0.250 0.372
Al 0.500 0.750 0.628
Zn 0.500 0.250 0.873
Zn 0.500 0.750 0.127

=====

A plane-wave DFT calculation with PBE-GGA was carried out for a relaxed structure of Mg3ReC.

Computed properties:
space-group type = Pm-3m
E_form = 2.290 eV per atom
ρ = 3.5 g/cm³
energy relative to the lowest polymorph listed for this composition = 1389.2 meV per atom

Cell: 5.028 5.028 5.028 Å, 90.00 90.00 90.00°
Each line ends with the local moment (μB).
Element x y z (fractional)
Re 0.000 0.000 0.000  0.64
Mg 0.000 0.500 0.000  0.00
Mg 0.000 0.000 0.500  -0.01
Mg 0.500 0.000 0.000  -0.01
C 0.500 0.500 0.500  0.18

=====

A plane-wave DFT calculation with PBE-GGA was carried out for a relaxed structure of VGaAsSe2.

Computed properties:
formation energy from raw total energies = 863 meV/atom
space-group type = P4/mmm
ρ = 5.1 g/cm³
energy relative to the lowest polymorph listed for this composition = 867.6 meV per atom

Cell: 4.922 4.922 4.774 Å, 90.00 90.00 90.00°
Each line ends with the local moment (μB).
Element x y z (fractional)
As 0.000 0.000 0.500  -0.01
Ga 0.000 0.000 0.000  0.01
Se 0.000 0.500 0.000  -0.06
Se 0.500 0.000 0.000  -0.06
V 0.500 0.500 0.500  0.10

=====

A plane-wave DFT calculation with PBE-GGA was carried out for a relaxed structure of LaLuAs.

Computed properties:
space-group type = P3m1
E_form = -0.643 eV per atom
ρ = 7.7 g/cm³

Cell: 4.222 4.798 4.798 Å, 120.00 90.00 90.00°
Element x y z (fractional)
As 0.132 0.000 0.000
Lu 0.185 0.333 0.667
La 0.683 0.667 0.333

=====

A plane-wave DFT calculation with PBE-GGA was carried out for a relaxed structure of NiRh2Au.

Computed properties:
space-group type = C2/m
E_form = 0.149 eV per atom
ρ = 13.2 g/cm³
energy relative to the lowest polymorph listed for this composition = 51.6 meV per atom

Cell: 4.788 4.788 4.688 Å, 78.51 78.51 33.53°
Each line ends with the local moment (μB).
Element x y z (fractional)
Au 0.250 0.250 0.250  0.06
Ni 0.750 0.750 0.750  0.80
Rh 0.011 0.011 0.984  0.41
Rh 0.489 0.489 0.516  0.41

=====

A plane-wave DFT calculation with PBE-GGA was carried out for a relaxed structure of GaFe4Re.

Computed properties:
space-group type = F-43m
E_form = 0.121 eV per atom
ρ = 10.9 g/cm³

Cell: 4.691 4.691 4.691 Å, 60.00 60.00 60.00°
Each line ends with the local moment (μB).
Element x y z (fractional)
Re 0.250 0.250 0.250  -0.44
Fe 0.625 0.625 0.125  1.57
Fe 0.625 0.125 0.625  1.57
Fe 0.625 0.625 0.625  1.57
Fe 0.125 0.625 0.625  1.57
Ga 0.000 0.000 0.000  -0.04

=====

A plane-wave DFT calculation with PBE-GGA was carried out for a relaxed structure of Al5Tl.

Computed properties:
space-group type = Cmmm
E_form = 0.191 eV per atom
ρ = 4.9 g/cm³
energy relative to the lowest polymorph listed for this composition = 26.2 meV per atom

Cell: 6.769 6.769 4.268 Å, 90.00 90.00 144.33°
Element x y z (fractional)
Al 0.325 0.675 0.500
Al 0.177 0.823 0.000
Al 0.000 0.000 0.500
Al 0.823 0.177 0.000
Al 0.675 0.325 0.500
Tl 0.500 0.500 0.000

=====

A plane-wave DFT calculation with PBE-GGA was carried out for a relaxed structure of ScSbRhAu.

Computed properties:
formation energy from raw total energies = -541 meV/atom
space-group type = F-43m
ρ = 10.3 g/cm³

Cell: 4.733 4.733 4.733 Å, 60.00 60.00 60.00°
Element x y z (fractional)
Sc 0.000 0.000 0.000
Sb 0.500 0.500 0.500
Au 0.750 0.750 0.750
Rh 0.250 0.250 0.250

=====

A plane-wave DFT calculation with PBE-GGA was carried out for a relaxed structure of Nd3Ho5In2.

Computed properties:
space-group type = Ibam
E_form = 0.047 eV per atom
ρ = 7.6 g/cm³

Cell: 6.424 10.621 10.621 Å, 94.77 72.40 72.40°
Element x y z (fractional)
Nd 0.250 0.000 0.000
Nd 0.750 0.000 0.000
Nd 0.383 0.356 0.878
Nd 0.617 0.644 0.122
Nd 0.883 0.878 0.356
Nd 0.117 0.122 0.644
Ho 0.250 0.500 0.500
Ho 0.750 0.500 0.500
Ho 0.503 0.746 0.746
Ho 0.996 0.254 0.254
Ho 0.496 0.254 0.254
Ho 0.004 0.746 0.746
Ho 0.123 0.540 0.214
Ho 0.877 0.460 0.786
Ho 0.623 0.214 0.540
Ho 0.377 0.786 0.460
In 0.138 0.715 0.009
In 0.862 0.285 0.991
In 0.638 0.009 0.715
In 0.362 0.991 0.285

=====

A plane-wave DFT calculation with PBE-GGA was carried out for a relaxed structure of Dy7HoSc2.

Computed properties:
space-group type = Cmmm
E_form = 0.658 eV per atom
ρ = 6.3 g/cm³

Cell: 5.525 8.729 8.729 Å, 119.68 90.00 90.00°
Element x y z (fractional)
Dy 0.000 0.760 0.240
Dy 0.000 0.240 0.760
Dy 0.500 0.062 0.301
Dy 0.500 0.938 0.699
Dy 0.500 0.301 0.062
Dy 0.500 0.699 0.938
Dy 0.500 0.500 0.500
Ho 0.000 0.000 0.000
Sc 0.500 0.705 0.295
Sc 0.500 0.295 0.705

=====

A plane-wave DFT calculation with PBE-GGA was carried out for a relaxed structure of SrRuF2.

Computed properties:
formation energy from raw total energies = -1393 meV/atom
space-group type = R-3m
ρ = 5.3 g/cm³
energy relative to the lowest polymorph listed for this composition = 212.8 meV per atom

Cell: 5.905 5.905 5.905 Å, 38.18 38.18 38.18°
Each line ends with the local moment (μB).
Element x y z (fractional)
Ru 0.500 0.500 0.500  2.33
F 0.729 0.729 0.729  0.04
F 0.271 0.271 0.271  0.04
Sr 0.000 0.000 0.000  0.00

=====

A plane-wave DFT calculation with PBE-GGA was carried out for a relaxed structure of Zr2SnB.

Computed properties:
space-group type = Fm-3m
E_form = 0.312 eV per atom
ρ = 6.8 g/cm³
energy relative to the lowest polymorph listed for this composition = 891.2 meV per atom

Cell: 4.750 4.750 4.750 Å, 60.00 60.00 60.00°
Element x y z (fractional)
B 0.000 0.000 0.000
Sn 0.500 0.500 0.500
Zr 0.250 0.250 0.250
Zr 0.750 0.750 0.750

=====

A plane-wave DFT calculation with PBE-GGA was carried out for a relaxed structure of Ca2H2Cl.

Computed properties:
space-group type = I4/mmm
ρ = 2.2 g/cm³
energy relative to the lowest polymorph listed for this composition = 0.0 meV per atom

Cell: 3.684 3.684 7.076 Å, 74.91 74.91 90.00°
Element x y z (fractional)
H 0.750 0.250 0.500
H 0.250 0.750 0.500
Ca 0.345 0.345 0.310
Ca 0.655 0.655 0.690
Cl 0.000 0.000 0.000

=====

Number 1: calculated total energy -21.23 eV for the cell shown. Number 2: calculated total energy -107.62 eV for the cell shown. Number 3: calculated total energy -29.79 eV for the cell shown. Number 4: calculated total energy -17.87 eV for the cell shown. Number 5: calculated total energy -6.85 eV for the cell shown. Number 6: calculated total energy -48.88 eV for the cell shown. Number 7: calculated total energy -44.28 eV for the cell shown. Number 8: calculated total energy -21.21 eV for the cell shown. Number 9: calculated total energy -72.80 eV for the cell shown. Number 10: calculated total energy -78.80 eV for the cell shown. Number 11: calculated total energy -16.35 eV for the cell shown. Number 12: calculated total energy -16.93 eV for the cell shown. Number 13: calculated total energy -28.27 eV for the cell shown. Number 14: calculated total energy -15.01 eV for the cell shown. Number 15: calculated total energy -19.45 eV for the cell shown. Number 16: calculated total energy -16.03 eV for the cell shown. Number 17: calculated total energy -23.17 eV for the cell shown. Number 18: calculated total energy -48.60 eV for the cell shown. Number 19: calculated total energy -19.93 eV for the cell shown. Number 20: calculated total energy -23.25 eV for the cell shown. Number 21: calculated total energy -84.40 eV for the cell shown. Number 22: calculated total energy -42.87 eV for the cell shown. Number 23: calculated total energy -20.27 eV for the cell shown. Number 24: calculated total energy -26.53 eV for the cell shown. Number 25: calculated total energy -17.09 eV for the cell shown.